No. 1
This record from the Alexandria database describes a relaxed LaY3Ho2Bi6 crystal. The functional is GGA-PBE. Values from VASP.

Output
DOS(E_F)	2.35	states/eV/cell
E	-67.5	eV per cell
symmetry	C2/m, No. 12

Geometry as Quantum ESPRESSO input:
```
&SYSTEM
  ibrav = 0, nat = 12, ntyp = 4
/
ATOMIC_SPECIES
La 138.91 La.upf
Y 88.91 Y.upf
Ho 164.93 Ho.upf
Bi 208.98 Bi.upf
ATOMIC_POSITIONS crystal
La 0.000 0.000 0.000
Y 0.163 0.837 0.500
Y 0.837 0.163 0.500
Y 0.500 0.500 0.500
Ho 0.332 0.668 0.000
Ho 0.668 0.332 0.000
Bi 0.915 0.574 0.746
Bi 0.742 0.742 0.251
Bi 0.085 0.426 0.254
Bi 0.574 0.915 0.746
Bi 0.258 0.258 0.749
Bi 0.426 0.085 0.254
CELL_PARAMETERS angstrom
-2.562 2.680 6.888
-4.471 -4.829 -4.227
5.399 -5.072 2.499
```

=====

No. 2
This record from the Alexandria database describes a relaxed Hf2SeS crystal. The functional is GGA-PBE. Values from VASP.

Output
DOS(E_F)	7.11	states/eV/cell
E	-59.8	eV per cell
E_form (uncorrected)	-0.5898	eV per atom
symmetry	I-42d, No. 122
ΔE to the lowest computed polymorph	2.13	eV/f.u.

Geometry as Quantum ESPRESSO input:
```
&SYSTEM
  ibrav = 0, nat = 8, ntyp = 3
/
ATOMIC_SPECIES
S 32.06 S.upf
Hf 178.49 Hf.upf
Se 78.96 Se.upf
ATOMIC_POSITIONS crystal
S 0.500 0.500 0.000
S 0.250 0.750 0.500
Hf 0.588 0.125 0.250
Hf 0.162 0.625 0.250
Hf 0.375 0.412 0.750
Hf 0.875 0.838 0.750
Se 0.000 0.000 0.000
Se 0.750 0.250 0.500
CELL_PARAMETERS angstrom
5.238 0.000 0.000
0.000 5.238 0.000
2.619 2.619 7.013
```

=====

No. 3
This record from the Alexandria database describes a relaxed TaSbS2N crystal. The functional is GGA-PBE. Values from VASP.

Output
DOS(E_F)	3.34	states/eV/cell
E	-33.0	eV per cell
E_form (uncorrected)	-0.0878	eV per atom
symmetry	P4/mmm, No. 123
ΔE to the lowest computed polymorph	0.00	eV/f.u.

Geometry as Quantum ESPRESSO input:
```
&SYSTEM
  ibrav = 0, nat = 5, ntyp = 4
/
ATOMIC_SPECIES
Sb 121.76 Sb.upf
S 32.06 S.upf
N 14.01 N.upf
Ta 180.95 Ta.upf
ATOMIC_POSITIONS crystal
Sb 0.500 0.500 0.500
S 0.000 0.500 0.000
S 0.500 0.000 0.000
N 0.000 0.000 0.500
Ta 0.000 0.000 0.000
CELL_PARAMETERS angstrom
4.958 0.000 0.000
0.000 4.958 0.000
0.000 0.000 3.909
```

=====

No. 4
This record from the Alexandria database describes a relaxed SbAsP2Rh crystal. The functional is GGA-PBE. Values from VASP.

Output
DOS(E_F)	3.90	states/eV/cell
E	-20.5	eV per cell
E_form (uncorrected)	1.2905	eV per atom
symmetry	P4/mmm, No. 123
ΔE to the lowest computed polymorph	4.23	eV/f.u.

Geometry as Quantum ESPRESSO input:
```
&SYSTEM
  ibrav = 0, nat = 5, ntyp = 4
/
ATOMIC_SPECIES
Sb 121.76 Sb.upf
As 74.92 As.upf
Rh 102.91 Rh.upf
P 30.97 P.upf
ATOMIC_POSITIONS crystal
Sb 0.000 0.000 0.000
As 0.500 0.500 0.500
Rh 0.000 0.500 0.000
P 0.000 0.000 0.500
P 0.500 0.000 0.000
CELL_PARAMETERS angstrom
-2.278 -3.241 3.051
3.408 -3.352 -1.016
2.767 1.654 3.823
```

=====

No. 5
This record from the Alexandria database describes a relaxed LaGa2NiAg crystal. The functional is GGA-PBE. Values from VASP.

Output
DOS(E_F)	2.29	states/eV/cell
E	-21.3	eV per cell
symmetry	P4/mmm, No. 123

Geometry as Quantum ESPRESSO input:
```
&SYSTEM
  ibrav = 0, nat = 5, ntyp = 4
/
ATOMIC_SPECIES
Ni 58.69 Ni.upf
Ga 69.72 Ga.upf
Ag 107.87 Ag.upf
La 138.91 La.upf
ATOMIC_POSITIONS crystal
Ni 0.000 0.000 0.000
Ga 0.000 0.500 0.000
Ga 0.500 0.000 0.000
Ag 0.000 0.000 0.500
La 0.500 0.500 0.500
CELL_PARAMETERS angstrom
4.587 0.000 0.000
0.000 4.587 0.000
0.000 0.000 4.970
```

=====

No. 6
This record from the Alexandria database describes a relaxed CeNd2Dy crystal. The functional is GGA-PBE. Values from VASP.

Output
DOS(E_F)	10.16	states/eV/cell
E	-19.3	eV per cell
symmetry	Fm-3m, No. 225
ΔE to the lowest computed polymorph	0.53	eV/f.u.

Geometry as Quantum ESPRESSO input:
```
&SYSTEM
  ibrav = 0, nat = 4, ntyp = 3
/
ATOMIC_SPECIES
Nd 144.24 Nd.upf
Ce 140.12 Ce.upf
Dy 162.50 Dy.upf
ATOMIC_POSITIONS crystal
Nd 0.250 0.250 0.250
Nd 0.750 0.750 0.750
Ce 0.500 0.500 0.500
Dy 0.000 0.000 0.000
CELL_PARAMETERS angstrom
-3.087 4.540 -1.745
-3.885 2.371 3.531
0.977 5.197 2.285
```